Entry from the Alexandria database: a relaxed RbV3F crystal (PBE with a Hubbard U).

Output
The relative energy among the computed polymorphs comes out at 635 kJ/mol of formula units. For the magnetization, the calculation gives 2.658 μB/atom.

a b c (Å): 6.160 6.160 6.160
angles (deg): 90.00 90.00 90.00
Site moments in Bohr magnetons follow the coordinates.
Fractional positions:
1 V 0.500 0.000 0.000  3.42
2 V 0.000 0.500 0.000  3.42
3 F 0.500 0.500 0.500  0.04
4 Rb 0.000 0.000 0.000  0.16
5 V 0.000 0.000 0.500  3.42